#i
# MgScAs

A geometry-optimized MgScAs structure (PBE-GGA, Alexandria via LeMat-Bulk).

a = 4.6305 Å, b = 4.6305 Å, c = 4.6305 Å
α = 60.00°, β = 60.00°, γ = 60.00°
Last column: nearest neighbours and their distance in Å.
Positions (direct):
Sc 0.7500 0.7500 0.7500  4 As 2.84, 4 Mg 2.84
Mg 0.5000 0.5000 0.5000  4 Sc 2.84
As 0.0000 0.0000 0.0000  4 Sc 2.84

As for the density of states at the Fermi level: 1.697 states/eV/cell. Its space group is F-43m, No. 216. Its total moment is 0.0 μB/f.u.


#ii
# MgScAs

A geometry-optimized MgScAs structure (PBE-GGA, Alexandria via LeMat-Bulk).

a = 4.2794 Å, b = 4.2794 Å, c = 6.8516 Å
α = 90.00°, β = 90.00°, γ = 90.00°
Last column: nearest neighbours and their distance in Å.
Positions (direct):
Mg 0.0000 0.5000 0.8431  1 As 2.67
Mg 0.5000 0.0000 0.1569  1 As 2.67
Sc 0.0000 0.0000 0.5000  4 As 2.82, 4 Sc 3.03
Sc 0.5000 0.5000 0.5000  4 As 2.82, 4 Sc 3.03
As 0.0000 0.5000 0.2322  1 Mg 2.67, 4 Sc 2.82
As 0.5000 0.0000 0.7678  1 Mg 2.67, 4 Sc 2.82

As for the density of states at the Fermi level: 3.778 states/eV/cell. Its space group is P4/nmm, No. 129. Its total moment is 0.5 μB/f.u.


Stability, lowest: #i


#i
# MgScAs

A geometry-optimized MgScAs structure (PBE-GGA, Alexandria via LeMat-Bulk).

a = 6.3751 Å, b = 6.1436 Å, c = 3.4165 Å
α = 77.94°, β = 70.46°, γ = 31.61°
Last column: nearest neighbours and their distance in Å.
Positions (direct):
Mg 0.6478 0.6478 0.3522  2 As 2.75
Sc 0.3588 0.3588 0.6412  2 As 2.61
As 0.9933 0.9933 0.0067  2 Sc 2.61, 2 Mg 2.75

As for the density of states at the Fermi level: 1.341 states/eV/cell. Its space group is Fmm2, No. 42. Its total moment is 0.0 μB/f.u.


#ii
# MgScAs

A geometry-optimized MgScAs structure (PBE-GGA, Alexandria via LeMat-Bulk).

a = 6.1410 Å, b = 6.1410 Å, c = 6.1410 Å
α = 150.44°, β = 146.06°, γ = 45.62°
Last column: nearest neighbours and their distance in Å.
Positions (direct):
As 0.0072 0.0072 0.0000  4 Sc 2.82, 4 Mg 2.96, 2 As 3.13
Sc 0.6406 0.6406 0.0000  4 As 2.82, 2 Sc 3.13
Mg 0.3522 0.3522 0.0000  4 As 2.96, 2 Mg 3.13, 1 Sc 3.26

As for the density of states at the Fermi level: 2.054 states/eV/cell. Its space group is Imm2, No. 44. Its total moment is 0.0 μB/f.u.


Stability, lowest: #ii


#i
# MgScAs

A geometry-optimized MgScAs structure (PBE-GGA, Alexandria via LeMat-Bulk).

a = 4.5054 Å, b = 4.5054 Å, c = 4.5054 Å
α = 60.00°, β = 60.00°, γ = 60.00°
Last column: nearest neighbours and their distance in Å.
Positions (direct):
As 0.7500 0.7500 0.7500  4 Mg 2.76, 4 Sc 2.76
Mg 0.0000 0.0000 0.0000  4 As 2.76
Sc 0.5000 0.5000 0.5000  4 As 2.76

As for the density of states at the Fermi level: 2.295 states/eV/cell. Its space group is F-43m, No. 216. Its total moment is 0.0 μB/f.u.


#ii
# MgScAs

A geometry-optimized MgScAs structure (PBE-GGA, Alexandria via LeMat-Bulk).

a = 4.3397 Å, b = 4.3397 Å, c = 3.6983 Å
α = 90.00°, β = 90.00°, γ = 120.00°
Last column: nearest neighbours and their distance in Å.
Positions (direct):
Mg 0.6667 0.3333 0.1661  3 As 2.51
Sc 0.3333 0.6667 0.6667  6 Mg 3.11-3.12, 6 As 3.11-3.12
As 0.0000 0.0000 0.1672  3 Mg 2.51

As for the density of states at the Fermi level: 0.448 states/eV/cell. Its space group is P-6m2, No. 187. Its total moment is 0.0 μB/f.u.


Stability, lowest: #i


#i
# MgScAsSe2

A geometry-optimized MgScAsSe2 structure (PBE-GGA, Alexandria via LeMat-Bulk).

a = 5.2522 Å, b = 5.2522 Å, c = 4.9716 Å
α = 90.00°, β = 90.00°, γ = 90.00°
Last column: nearest neighbours and their distance in Å.
Positions (direct):
Se 0.5000 0.0000 0.0000  2 As 2.63
Mg 0.5000 0.5000 0.5000  8 Se 3.62, 4 Sc 3.71
Se 0.0000 0.5000 0.0000  2 As 2.63
Sc 0.0000 0.0000 0.5000  2 As 2.49
As 0.0000 0.0000 0.0000  2 Sc 2.49, 4 Se 2.63

As for the density of states at the Fermi level: 2.866 states/eV/cell. Its space group is P4/mmm, No. 123. Its total moment is 0.0 μB/f.u.


#ii
# MgScAsSe2

A geometry-optimized MgScAsSe2 structure (PBE-GGA, Alexandria via LeMat-Bulk).

a = 4.9898 Å, b = 4.9898 Å, c = 4.8787 Å
α = 90.00°, β = 90.00°, γ = 90.00°
Last column: nearest neighbours and their distance in Å.
Positions (direct):
Mg 0.0000 0.0000 0.0000  2 As 2.44, 4 Se 2.49
Se 0.0000 0.5000 0.0000  2 Mg 2.49
Sc 0.5000 0.5000 0.5000  8 Se 3.49, 4 As 3.53
As 0.0000 0.0000 0.5000  2 Mg 2.44
Se 0.5000 0.0000 0.0000  2 Mg 2.49

As for the density of states at the Fermi level: 5.359 states/eV/cell. Its space group is P4/mmm, No. 123. Its total moment is 0.0 μB/f.u.


#iii
# MgScAsSe2

A geometry-optimized MgScAsSe2 structure (PBE-GGA, Alexandria via LeMat-Bulk).

a = 5.1227 Å, b = 5.1450 Å, c = 5.1227 Å
α = 90.00°, β = 90.00°, γ = 90.00°
Last column: nearest neighbours and their distance in Å.
Positions (direct):
Mg 0.5000 0.5000 0.5000  4 As 3.62, 8 Se 3.63
Se 0.0000 0.0000 0.5000  2 Sc 2.56
Sc 0.0000 0.0000 0.0000  4 Se 2.56, 2 As 2.57
As 0.0000 0.5000 0.0000  2 Sc 2.57
Se 0.5000 0.0000 0.0000  2 Sc 2.56

As for the density of states at the Fermi level: 4.552 states/eV/cell. Its space group is P4/mmm, No. 123. Its total moment is 0.0 μB/f.u.


Stability, lowest: #i


#i
# MgAs2Se4

A geometry-optimized MgAs2Se4 structure (PBE-GGA, Alexandria via LeMat-Bulk).

a = 3.8455 Å, b = 6.7583 Å, c = 7.5297 Å
α = 115.35°, β = 104.79°, γ = 90.00°
Last column: nearest neighbours and their distance in Å.
Positions (direct):
Se 0.1315 0.4625 0.2629  3 As 2.62-2.65, 1 Mg 2.85
Se 0.6262 0.9699 0.2524  2 Mg 2.73, 3 As 2.82-2.88
As 0.7463 0.7275 0.4926  6 Se 2.62-2.88
Se 0.3738 0.0301 0.7476  2 Mg 2.73, 3 As 2.82-2.88
As 0.2537 0.2725 0.5074  6 Se 2.62-2.88
Mg 0.0000 0.0000 0.0000  6 Se 2.73-2.85
Se 0.8685 0.5375 0.7371  3 As 2.62-2.65, 1 Mg 2.85

Its space group is C2/m, No. 12. Its total moment is 0.0 μB/f.u.


#ii
# MgAs2Se4

A geometry-optimized MgAs2Se4 structure (PBE-GGA, Alexandria via LeMat-Bulk).

a = 3.8566 Å, b = 3.8566 Å, c = 13.5601 Å
α = 81.82°, β = 81.82°, γ = 60.00°
Last column: nearest neighbours and their distance in Å.
Positions (direct):
Se 0.8804 0.8804 0.3587  3 As 2.64
As 0.5823 0.5823 0.2531  6 Se 2.64-2.86
As 0.4177 0.4177 0.7469  6 Se 2.64-2.86
Se 0.1196 0.1196 0.6413  3 As 2.64
Se 0.7062 0.7062 0.8815  3 Mg 2.73, 3 As 2.86
Se 0.2938 0.2938 0.1185  3 Mg 2.73, 3 As 2.86
Mg 0.0000 0.0000 0.0000  6 Se 2.73

Its space group is R-3m, No. 166. Its total moment is 0.0 μB/f.u.


Stability, lowest: #i


#i
# MgAs2Se

A geometry-optimized MgAs2Se structure (PBE-GGA, Alexandria via LeMat-Bulk).

a = 4.8311 Å, b = 4.8311 Å, c = 4.8311 Å
α = 60.00°, β = 60.00°, γ = 60.00°
Last column: nearest neighbours and their distance in Å.
Positions (direct):
As 0.2500 0.2500 0.2500  4 As 2.96, 4 Mg 2.96
Mg 0.5000 0.5000 0.5000  4 As 2.96, 4 Se 2.96
As 0.0000 0.0000 0.0000  4 As 2.96, 4 Se 2.96
Se 0.7500 0.7500 0.7500  4 Mg 2.96, 4 As 2.96

As for the density of states at the Fermi level: 2.047 states/eV/cell. Its space group is F-43m, No. 216. Its total moment is 0.0 μB/f.u.


#ii
# MgAs2Se

A geometry-optimized MgAs2Se structure (PBE-GGA, Alexandria via LeMat-Bulk).

a = 7.7714 Å, b = 7.7714 Å, c = 7.7714 Å
α = 152.90°, β = 153.22°, γ = 38.47°
Last column: nearest neighbours and their distance in Å.
Positions (direct):
As 0.0291 0.0291 0.0000  4 As 2.70
Se 0.2500 0.7500 0.5000  4 Mg 2.56
As 0.4709 0.4709 0.0000  4 As 2.70
Mg 0.7500 0.2500 0.5000  4 Se 2.56

As for the density of states at the Fermi level: 1.636 states/eV/cell. Its space group is Immm, No. 71. Its total moment is 0.0 μB/f.u.


Stability, lowest: #i